# 1
Material: CaPtN2F
Method: DFT, GGA-PBE
State: optimized geometry

Formation energy (no corrections)   -303 meV/atom
Density of states at the Fermi level   2.5 states/eV/f.u.

Lattice parameters (Å, degrees): 3.7819 3.7819 5.3923 90.00 90.00 90.00
With the nearest neighbours (Å) after each atom.
Element x y z (fractional)
N (0.0000, 0.5000, 0.0000)  2 Pt 1.89
F (0.0000, 0.0000, 0.5000)  4 Ca 2.67, 2 Pt 2.70
N (0.5000, 0.0000, 0.0000)  2 Pt 1.89
Ca (0.5000, 0.5000, 0.5000)  4 F 2.67
Pt (0.0000, 0.0000, 0.0000)  4 N 1.89

# 2
Material: CoCuSe4
Method: DFT, GGA-PBE
State: optimized geometry

Formation energy (no corrections)   1003 meV/atom
Density of states at the Fermi level   5.3 states/eV/f.u.

Lattice parameters (Å, degrees): 5.6170 5.6170 5.6170 60.00 60.00 60.00
With the nearest neighbours (Å) after each atom.
Element x y z (fractional)
Co (0.7500, 0.7500, 0.7500)  12 Se 3.29, 4 Cu 3.44
Se (0.3753, 0.8740, 0.3753)  6 Se 2.80-2.82
Se (0.3753, 0.3753, 0.8740)  6 Se 2.80-2.82
Cu (0.0000, 0.0000, 0.0000)  12 Se 3.29, 4 Co 3.44
Se (0.8740, 0.3753, 0.3753)  6 Se 2.80-2.82
Se (0.3753, 0.3753, 0.3753)  6 Se 2.80-2.82

# 3
Material: YMg2Au
Method: DFT, GGA-PBE
State: optimized geometry

Energy of formation from the pure elements   -0.507 eV/atom
Density of states at the Fermi level   2.4 states/eV/f.u.

Lattice parameters (Å, degrees): 5.6622 8.2014 15.9477 90.00 90.00 90.00
With the nearest neighbours (Å) after each atom.
Element x y z (fractional)
Au (0.0445, 0.7500, 0.9318)  6 Mg 2.80-2.86, 3 Y 3.02-3.05
Y (0.2574, 0.7500, 0.1057)  3 Au 3.02-3.10, 2 Mg 3.38
Au (0.4555, 0.7500, 0.4318)  6 Mg 2.80-2.86, 3 Y 3.02-3.05
Y (0.4525, 0.2500, 0.1369)  3 Au 3.02-3.06
Mg (0.2501, 0.4459, 0.4628)  3 Au 2.80-2.86
Mg (0.5362, 0.4466, 0.7145)  3 Au 2.79-2.84
Mg (0.4638, 0.9466, 0.2855)  3 Au 2.79-2.84
Au (0.7591, 0.7500, 0.1839)  6 Mg 2.79-2.84, 3 Y 3.06-3.10
Au (0.7409, 0.7500, 0.6839)  6 Mg 2.79-2.84, 3 Y 3.06-3.10
Mg (0.2501, 0.0541, 0.4628)  3 Au 2.80-2.86
Mg (0.0362, 0.9466, 0.7855)  3 Au 2.79-2.84
Mg (0.7501, 0.9459, 0.0372)  3 Au 2.80-2.86
Y (0.7426, 0.2500, 0.8943)  3 Au 3.02-3.10, 2 Mg 3.38
Mg (0.2499, 0.4459, 0.9628)  3 Au 2.80-2.86
Mg (0.2499, 0.0541, 0.9628)  3 Au 2.80-2.86
Au (0.9555, 0.2500, 0.0682)  6 Mg 2.80-2.86, 3 Y 3.02-3.05
Au (0.2409, 0.2500, 0.8161)  6 Mg 2.79-2.84, 3 Y 3.06-3.10
Au (0.2591, 0.2500, 0.3161)  6 Mg 2.79-2.84, 3 Y 3.06-3.10
Y (0.5475, 0.7500, 0.8631)  3 Au 3.02-3.06
Y (0.7574, 0.2500, 0.3943)  3 Au 3.02-3.10, 2 Mg 3.38
Mg (0.5362, 0.0534, 0.7145)  3 Au 2.79-2.84
Mg (0.0362, 0.5534, 0.7855)  3 Au 2.79-2.84
Mg (0.7499, 0.9459, 0.5372)  3 Au 2.80-2.86
Mg (0.9638, 0.0534, 0.2145)  3 Au 2.79-2.84
Mg (0.7499, 0.5541, 0.5372)  3 Au 2.80-2.86
Au (0.5445, 0.2500, 0.5682)  6 Mg 2.80-2.86, 3 Y 3.02-3.05
Y (0.9525, 0.7500, 0.3631)  3 Au 3.02-3.06
Y (0.2426, 0.7500, 0.6057)  3 Au 3.02-3.10, 2 Mg 3.38
Mg (0.9638, 0.4466, 0.2145)  3 Au 2.79-2.84
Mg (0.4638, 0.5534, 0.2855)  3 Au 2.79-2.84
Mg (0.7501, 0.5541, 0.0372)  3 Au 2.80-2.86
Y (0.0475, 0.2500, 0.6369)  3 Au 3.02-3.06

# 4
Material: PmDy3Pb2C
Method: DFT, GGA-PBE
State: optimized geometry

Energy of formation from the pure elements   -0.482 eV/atom
Density of states at the Fermi level   0.7 states/eV/f.u.

Lattice parameters (Å, degrees): 4.9545 4.8479 8.7866 106.01 106.38 90.00
With the nearest neighbours (Å) after each atom.
Element x y z (fractional)
Pm (0.5000, 0.0000, 0.0000)  2 C 2.48
Pb (0.6433, 0.6433, 0.2866)  7 Dy 3.22-3.47, 2 Pm 3.35
Dy (0.0000, 0.5000, 0.0000)  2 C 2.42
Dy (0.1574, 0.1574, 0.3148)  1 C 2.54
Pb (0.3567, 0.3567, 0.7134)  7 Dy 3.22-3.47, 2 Pm 3.35
Dy (0.8426, 0.8426, 0.6852)  1 C 2.54
C (0.0000, 0.0000, 0.0000)  4 Dy 2.42-2.54, 2 Pm 2.48

# 5
Material: CuAgGe2Se6
Method: DFT, GGA-PBE
State: optimized geometry

Formation energy (no corrections)   -87 meV/atom
Density of states at the Fermi level   5.7 states/eV/f.u.

Lattice parameters (Å, degrees): 6.5917 8.9439 8.9439 87.61 77.14 77.14
With the nearest neighbours (Å) after each atom.
Element x y z (fractional)
Se (0.5289, 0.4570, 0.2990)  2 Ge 2.40-2.42
Ag (0.7500, 0.1284, 0.8716)  4 Se 2.67-2.82
Se (0.0289, 0.2990, 0.4570)  2 Ge 2.40-2.42
Se (0.9217, 0.3853, 0.8976)  1 Cu 2.38, 1 Ge 2.42
Se (0.9711, 0.7010, 0.5430)  2 Ge 2.40-2.42
Ge (0.2632, 0.7759, 0.6154)  4 Se 2.40-2.43
Se (0.4217, 0.8976, 0.3853)  1 Cu 2.38, 1 Ge 2.42
Ge (0.2368, 0.3846, 0.2241)  4 Se 2.40-2.43
Cu (0.2500, 0.2221, 0.7779)  4 Se 2.38-2.54
Se (0.5783, 0.1024, 0.6147)  1 Cu 2.38, 1 Ge 2.42
Se (0.6491, 0.8234, 0.9629)  1 Ge 2.43, 1 Cu 2.54, 1 Ag 2.67
Ge (0.7632, 0.6154, 0.7759)  4 Se 2.40-2.43
Se (0.8509, 0.0371, 0.1766)  1 Ge 2.43, 1 Cu 2.54, 1 Ag 2.67
Se (0.4711, 0.5430, 0.7010)  2 Ge 2.40-2.42
Cu (0.7500, 0.7779, 0.2221)  4 Se 2.38-2.54
Se (0.1491, 0.9629, 0.8234)  1 Ge 2.43, 1 Cu 2.54, 1 Ag 2.67
Ag (0.2500, 0.8716, 0.1284)  4 Se 2.67-2.82
Se (0.3509, 0.1766, 0.0371)  1 Ge 2.43, 1 Cu 2.54, 1 Ag 2.67
Se (0.0783, 0.6147, 0.1024)  1 Cu 2.38, 1 Ge 2.42
Ge (0.7368, 0.2241, 0.3846)  4 Se 2.40-2.43

# 6
Material: CaPmZn
Method: DFT, GGA-PBE
State: optimized geometry

Energy of formation from the pure elements   -0.167 eV/atom
Density of states at the Fermi level   3.3 states/eV/f.u.

Lattice parameters (Å, degrees): 3.6422 3.6422 7.0836 104.90 104.90 90.00
With the nearest neighbours (Å) after each atom.
Element x y z (fractional)
Zn (0.6709, 0.6709, 0.3418)  4 Pm 3.10, 4 Ca 3.20
Pm (0.3022, 0.3022, 0.6044)  4 Zn 3.10
Ca (0.0269, 0.0269, 0.0539)  4 Zn 3.20

# 7
Material: TaMn2Cu
Method: DFT, GGA-PBE
State: optimized geometry

Energy of formation from the pure elements   0.322 eV/atom
Density of states at the Fermi level   3.1 states/eV/f.u.

Lattice parameters (Å, degrees): 8.7483 8.7483 8.7483 18.44 18.44 18.44
With the nearest neighbours (Å) after each atom.
Element x y z (fractional)
Mn (0.4962, 0.4962, 0.4962)  3 Cu 2.61, 3 Ta 2.77, 6 Mn 2.80
Ta (0.2500, 0.2500, 0.2500)  6 Mn 2.77, 6 Ta 2.80
Mn (0.0038, 0.0038, 0.0038)  3 Cu 2.61, 3 Ta 2.77, 6 Mn 2.80
Cu (0.7500, 0.7500, 0.7500)  6 Mn 2.61, 6 Cu 2.80

# 8
Material: TbPm2PrSe4
Method: DFT, GGA-PBE
State: optimized geometry

Formation energy (no corrections)   -1816 meV/atom
Density of states at the Fermi level   5.0 states/eV/f.u.

Lattice parameters (Å, degrees): 4.1384 7.2478 7.3308 71.15 90.00 90.00
With the nearest neighbours (Å) after each atom.
Element x y z (fractional)
Tb (0.0000, 0.5000, 0.5000)  6 Se 2.92
Pm (0.5000, 0.0000, 0.5000)  6 Se 2.94
Pm (0.0000, 0.0000, 0.0000)  6 Se 3.00
Se (0.5000, 0.2547, 0.7415)  2 Tb 2.92, 3 Pm 2.94-3.00, 1 Pr 2.99
Pr (0.5000, 0.5000, 0.0000)  6 Se 2.99
Se (0.0000, 0.2494, 0.2573)  1 Tb 2.92, 3 Pm 2.94-3.00, 2 Pr 2.99
Se (0.5000, 0.7453, 0.2585)  2 Tb 2.92, 3 Pm 2.94-3.00, 1 Pr 2.99
Se (0.0000, 0.7506, 0.7427)  1 Tb 2.92, 3 Pm 2.94-3.00, 2 Pr 2.99

# 9
Material: KSr2Cd2Sb3
Method: DFT, GGA-PBE
State: optimized geometry

Formation energy (no corrections)   -703 meV/atom
Density of states at the Fermi level   0.2 states/eV/f.u.

Lattice parameters (Å, degrees): 4.9024 12.8593 16.5852 90.00 90.00 90.00
With the nearest neighbours (Å) after each atom.
Element x y z (fractional)
Sr (0.2500, 0.6022, 0.0734)  5 Sb 3.38-3.50, 4 Cd 3.43-3.73
Sb (0.2500, 0.7082, 0.5823)  2 Cd 2.94-3.01
Sb (0.7500, 0.3742, 0.6950)  3 Cd 2.86-2.98
Sr (0.7500, 0.6336, 0.7166)  6 Sb 3.36-3.61, 1 Cd 3.49
Sb (0.7500, 0.4220, 0.1297)  3 Cd 3.01-3.08
Cd (0.7500, 0.6977, 0.9210)  4 Sb 2.94-3.01
K (0.2500, 0.4064, 0.5506)  4 Sb 3.45-3.61, 2 Cd 3.67, 2 K 3.82
K (0.7500, 0.5936, 0.4494)  4 Sb 3.45-3.61, 2 Cd 3.67, 2 K 3.82
K (0.2500, 0.9064, 0.9494)  4 Sb 3.45-3.61, 2 Cd 3.67, 2 K 3.82
Sr (0.2500, 0.3664, 0.2834)  6 Sb 3.36-3.61, 1 Cd 3.49
Cd (0.2500, 0.3662, 0.7841)  4 Sb 2.86-3.08
Sb (0.7500, 0.2918, 0.4177)  2 Cd 2.94-3.01
Cd (0.7500, 0.6338, 0.2159)  4 Sb 2.86-3.08
Sb (0.7500, 0.8742, 0.8050)  3 Cd 2.86-2.98
Sr (0.7500, 0.1336, 0.7834)  6 Sb 3.36-3.61, 1 Cd 3.49
Cd (0.2500, 0.8023, 0.4210)  4 Sb 2.94-3.01
Cd (0.7500, 0.1977, 0.5790)  4 Sb 2.94-3.01
Sb (0.2500, 0.6258, 0.3050)  3 Cd 2.86-2.98
Sr (0.2500, 0.8664, 0.2166)  6 Sb 3.36-3.61, 1 Cd 3.49
Cd (0.7500, 0.1338, 0.2841)  4 Sb 2.86-3.08
Sb (0.2500, 0.0780, 0.6297)  3 Cd 3.01-3.08
K (0.7500, 0.0936, 0.0506)  4 Sb 3.45-3.61, 2 Cd 3.67, 2 K 3.82
Cd (0.2500, 0.8662, 0.7159)  4 Sb 2.86-3.08
Cd (0.2500, 0.3023, 0.0790)  4 Sb 2.94-3.01
Sb (0.2500, 0.2082, 0.9177)  2 Cd 2.94-3.01
Sb (0.7500, 0.7918, 0.0823)  2 Cd 2.94-3.01
Sb (0.7500, 0.9220, 0.3703)  3 Cd 3.01-3.08
Sr (0.7500, 0.3978, 0.9266)  5 Sb 3.38-3.50, 4 Cd 3.43-3.73
Sb (0.2500, 0.5780, 0.8703)  3 Cd 3.01-3.08
Sb (0.2500, 0.1258, 0.1950)  3 Cd 2.86-2.98
Sr (0.7500, 0.8978, 0.5734)  5 Sb 3.38-3.50, 4 Cd 3.43-3.73
Sr (0.2500, 0.1022, 0.4266)  5 Sb 3.38-3.50, 4 Cd 3.43-3.73

# 10
Material: CeScN
Method: DFT, GGA-PBE
State: optimized geometry

Formation energy (no corrections)   -775 meV/atom
Density of states at the Fermi level   4.0 states/eV/f.u.

Lattice parameters (Å, degrees): 3.0302 3.0302 7.0336 102.44 102.44 90.00
With the nearest neighbours (Å) after each atom.
Element x y z (fractional)
Ce (0.0398, 0.0398, 0.0796)  1 N 2.33
N (0.2138, 0.2138, 0.4276)  4 Sc 2.19, 1 Ce 2.33
Sc (0.7464, 0.7464, 0.4929)  4 N 2.19

# 11
Material: KBaSr2Ni
Method: DFT, GGA-PBE
State: optimized geometry

Energy of formation from the pure elements   0.034 eV/atom
Density of states at the Fermi level   3.8 states/eV/f.u.

Lattice parameters (Å, degrees): 6.1297 6.1297 6.2264 90.00 90.00 90.00
With the nearest neighbours (Å) after each atom.
Element x y z (fractional)
Sr (0.5000, 0.0000, 0.0000)  2 Ni 3.06
Ni (0.0000, 0.0000, 0.0000)  4 Sr 3.06, 2 Ba 3.11
Sr (0.0000, 0.5000, 0.0000)  2 Ni 3.06
Ba (0.0000, 0.0000, 0.5000)  2 Ni 3.11
K (0.5000, 0.5000, 0.5000)  4 Ba 4.33, 8 Sr 4.37

# 12
Material: BeCd2Te
Method: DFT, GGA-PBE
State: optimized geometry

Formation energy (no corrections)   387 meV/atom
Density of states at the Fermi level   1.3 states/eV/f.u.

Lattice parameters (Å, degrees): 6.9514 6.9514 6.6028 58.24 58.24 90.00
With the nearest neighbours (Å) after each atom.
Element x y z (fractional)
Te (0.7500, 0.2500, 0.5000)  4 Cd 2.91
Be (0.5000, 0.5000, 0.0000)  4 Cd 2.50
Cd (0.3750, 0.4206, 0.7500)  2 Be 2.50
Cd (0.5794, 0.1250, 0.2500)  2 Be 2.50
Cd (0.8750, 0.8294, 0.7500)  2 Be 2.50
Be (0.2500, 0.7500, 0.5000)  4 Cd 2.50
Cd (0.1706, 0.6250, 0.2500)  2 Be 2.50
Te (0.0000, 0.0000, 0.0000)  4 Cd 2.91

Question: Which formula does entry 10 have?
Answer: CeScN

Question: density of states at the Fermi level of number 11 (KBaSr2Ni)?
Answer: 3.8 states/eV/f.u.

Repeat the fourth record exactly.
Material: PmDy3Pb2C
Method: DFT, GGA-PBE
State: optimized geometry

Energy of formation from the pure elements   -0.482 eV/atom
Density of states at the Fermi level   0.7 states/eV/f.u.

Lattice parameters (Å, degrees): 4.9545 4.8479 8.7866 106.01 106.38 90.00
With the nearest neighbours (Å) after each atom.
Element x y z (fractional)
Pm (0.5000, 0.0000, 0.0000)  2 C 2.48
Pb (0.6433, 0.6433, 0.2866)  7 Dy 3.22-3.47, 2 Pm 3.35
Dy (0.0000, 0.5000, 0.0000)  2 C 2.42
Dy (0.1574, 0.1574, 0.3148)  1 C 2.54
Pb (0.3567, 0.3567, 0.7134)  7 Dy 3.22-3.47, 2 Pm 3.35
Dy (0.8426, 0.8426, 0.6852)  1 C 2.54
C (0.0000, 0.0000, 0.0000)  4 Dy 2.42-2.54, 2 Pm 2.48